Entry 1:
Here is a relaxed ReBTeI2 crystal from Alexandria. Energies are from PBE.

Computed properties:
ΔE to the lowest computed polymorph: 242 meV/atom
formation energy without anion corrections: 1.7872 eV/atom
uncorrected energy: -16.43 eV per cell
size of the total moment: 0.00 μB per formula unit
V: 108 Å³ per cell

abc: 4.7661 4.7661 4.7659
angles: 90.00 90.00 90.00
Element x y z (fractional)
B (0.0000, 0.0000, 0.0000)
I (0.0000, 0.5000, 0.0000)
I (0.5000, 0.0000, 0.0000)
Re (0.5000, 0.5000, 0.5000)
Te (0.0000, 0.0000, 0.5000)



Entry 2:
Here is a relaxed ZnReBI2 crystal from Alexandria. Energies are from PBE.

Computed properties:
formation energy without anion corrections: 2.0928 eV/atom
uncorrected energy: -13.04 eV per cell
size of the total moment: 4.17 μB per formula unit
V: 160 Å³ per cell

abc: 5.6048 5.1027 5.6048
angles: 90.00 90.00 90.00
Element x y z (fractional)
I (0.0000, 0.0000, 0.5000)
I (0.5000, 0.0000, 0.0000)
B (0.5000, 0.5000, 0.5000)
Re (0.0000, 0.5000, 0.0000)
Zn (0.0000, 0.0000, 0.0000)



Entry 3:
Here is a relaxed B2RhI crystal from Alexandria. Energies are from PBE.

Computed properties:
ΔE to the lowest computed polymorph: 0 meV/atom
formation energy without anion corrections: 0.8051 eV/atom
uncorrected energy: -38.07 eV per cell
size of the total moment: 0.00 μB per formula unit
V: 144 Å³ per cell

abc: 5.3311 5.3311 6.3210
angles: 65.06 65.06 90.00
Element x y z (fractional)
I (0.7500, 0.2500, 0.5000)
I (0.0000, 0.0000, 0.0000)
Rh (0.5000, 0.5000, 0.0000)
Rh (0.2500, 0.7500, 0.5000)
B (0.3750, 0.4720, 0.7500)
B (0.5280, 0.1250, 0.2500)
B (0.8750, 0.7780, 0.7500)
B (0.2220, 0.6250, 0.2500)



Entry 4:
Here is a relaxed BRhI crystal from Alexandria. Energies are from PBE.

Computed properties:
formation energy without anion corrections: 0.0696 eV/atom
uncorrected energy: -61.48 eV per cell
size of the total moment: 0.00 μB per formula unit
V: 276 Å³ per cell

abc: 5.0278 5.7458 9.5449
angles: 90.00 90.00 90.00
Element x y z (fractional)
Rh (0.1840, 0.8561, 0.0237)
Rh (0.6840, 0.6439, 0.0237)
Rh (0.6840, 0.1439, 0.9763)
Rh (0.1840, 0.3561, 0.9763)
I (0.0575, 0.0006, 0.3196)
I (0.5575, 0.4994, 0.3196)
I (0.0575, 0.5006, 0.6804)
I (0.5575, 0.9994, 0.6804)
B (0.9875, 0.6482, 0.8864)
B (0.4875, 0.8518, 0.8864)
B (0.4875, 0.3518, 0.1136)
B (0.9875, 0.1482, 0.1136)